Entry 1:
Entry from Alexandria: a relaxed PmAlN crystal (PBE).

Summary:
- Formation energy from raw total energies: -52 kJ/mol of atoms
- Magnetization: 0.00 Bohr magnetons per cell

Unit cell a=3.620 b=3.620 c=8.799 alpha=90.00 beta=90.00 gamma=90.00
Sites, in units of the cell vectors:
Pm 0.250 0.250 0.142
Pm 0.750 0.750 0.858
Al 0.250 0.750 0.500
Al 0.750 0.250 0.500
N 0.250 0.250 0.878
N 0.750 0.750 0.122


Entry 2:
Entry from Alexandria: a relaxed PmAlN2 crystal (PBE).

Summary:
- Formation energy from raw total energies: -77 kJ/mol of atoms
- Magnetization: 0.00 Bohr magnetons per cell

Unit cell a=3.775 b=3.775 c=17.607 alpha=90.00 beta=90.00 gamma=120.00
Sites, in units of the cell vectors:
Pm 0.000 0.000 0.000
Pm 0.333 0.667 0.667
Pm 0.667 0.333 0.333
Al 0.000 0.000 0.500
Al 0.333 0.667 0.167
Al 0.667 0.333 0.833
N 0.000 0.000 0.401
N 0.000 0.000 0.599
N 0.333 0.667 0.068
N 0.333 0.667 0.265
N 0.667 0.333 0.735
N 0.667 0.333 0.932


Entry 3:
Entry from Alexandria: a relaxed Pm2PrAlN crystal (PBE).

Summary:
- Formation energy from raw total energies: -74 kJ/mol of atoms
- Magnetization: 0.00 Bohr magnetons per cell

Unit cell a=4.954 b=4.954 c=5.043 alpha=90.00 beta=90.00 gamma=90.00
Sites, in units of the cell vectors:
Pm 0.000 0.500 0.000
Pm 0.500 0.000 0.000
Pr 0.000 0.000 0.500
Al 0.500 0.500 0.500
N 0.000 0.000 0.000